No. 1
Here is a relaxed structure of TlInS2 from the Alexandria database. Energies are from PBEsol.

Cell lengths 7.6283, 7.6283, 7.6283 Å; angles 29.12, 29.12, 29.12 degrees
Positions (direct):
Tl (0.0000, 0.0000, 0.0000)
In (0.5000, 0.5000, 0.5000)
S (0.2323, 0.2323, 0.2323)
S (0.7677, 0.7677, 0.7677)

Computed properties:
The space-group type is No. 166. The value obtained for the uncorrected formation energy is -0.536 eV per atom. The crystal system is trigonal. For the total moment, the calculation gives 0.0 μB/f.u.



No. 2
Here is a relaxed structure of TlInS2 from the Alexandria database. Energies are from PBEsol.

Cell lengths 6.5513, 6.5513, 6.5513 Å; angles 113.19, 113.19, 102.27 degrees
Positions (direct):
Tl (0.0000, 0.0000, 0.0000)
Tl (0.7500, 0.2500, 0.5000)
In (0.2500, 0.7500, 0.5000)
In (0.5000, 0.5000, 0.0000)
S (0.1914, 0.6250, 0.0664)
S (0.3750, 0.4414, 0.5664)
S (0.5586, 0.1250, 0.9336)
S (0.8750, 0.8086, 0.4336)

Computed properties:
The space-group type is No. 122. The value obtained for the uncorrected formation energy is -0.470 eV per atom. The crystal system is tetragonal. For the total moment, the calculation gives 0.0 μB/f.u.



No. 3
Here is a relaxed structure of V9InS12 from the Alexandria database. Energies are from PBEsol.

Cell lengths 9.5349, 9.5349, 9.5349 Å; angles 109.43, 109.43, 109.43 degrees
Positions (direct):
V (0.0480, 0.1658, 0.5373)
V (0.1285, 0.6194, 0.5019)
V (0.1658, 0.5373, 0.0480)
V (0.1684, 0.7967, 0.2861)
V (0.2033, 0.7139, 0.8316)
V (0.2861, 0.1684, 0.7967)
V (0.3806, 0.4981, 0.8715)
V (0.4627, 0.9520, 0.8342)
V (0.4981, 0.8715, 0.3806)
V (0.5019, 0.1285, 0.6194)
V (0.5373, 0.0480, 0.1658)
V (0.6194, 0.5019, 0.1285)
V (0.7139, 0.8316, 0.2033)
V (0.7967, 0.2861, 0.1684)
V (0.8316, 0.2033, 0.7139)
V (0.8342, 0.4627, 0.9520)
V (0.8715, 0.3806, 0.4981)
V (0.9520, 0.8342, 0.4627)
In (0.0000, 0.0000, 0.0000)
In (0.5000, 0.5000, 0.5000)
S (0.0046, 0.9513, 0.2961)
S (0.0394, 0.3297, 0.3822)
S (0.0487, 0.7039, 0.9954)
S (0.0834, 0.4164, 0.7502)
S (0.2498, 0.9166, 0.5836)
S (0.2838, 0.6285, 0.3370)
S (0.2961, 0.0046, 0.9513)
S (0.3297, 0.3822, 0.0394)
S (0.3370, 0.2838, 0.6285)
S (0.3715, 0.6630, 0.7162)
S (0.3822, 0.0394, 0.3297)
S (0.4164, 0.7502, 0.0834)
S (0.5836, 0.2498, 0.9166)
S (0.6178, 0.9606, 0.6703)
S (0.6285, 0.3370, 0.2838)
S (0.6630, 0.7162, 0.3715)
S (0.6703, 0.6178, 0.9606)
S (0.7039, 0.9954, 0.0487)
S (0.7162, 0.3715, 0.6630)
S (0.7502, 0.0834, 0.4164)
S (0.9166, 0.5836, 0.2498)
S (0.9513, 0.2961, 0.0046)
S (0.9606, 0.6703, 0.6178)
S (0.9954, 0.0487, 0.7039)

Computed properties:
The space-group type is No. 148. The value obtained for the uncorrected formation energy is -1.072 eV per atom. The crystal system is trigonal. For the total moment, the calculation gives 0.0 μB/f.u.



No. 4
Here is a relaxed structure of V6InS8 from the Alexandria database. Energies are from PBEsol.

Cell lengths 9.0115, 9.0115, 3.1787 Å; angles 90.00, 90.00, 120.00 degrees
Positions (direct):
V (0.0396, 0.8230, 0.0000)
V (0.1563, 0.4501, 0.5021)
V (0.1770, 0.2166, 0.0000)
V (0.2938, 0.8437, 0.5021)
V (0.5499, 0.7062, 0.5021)
V (0.7834, 0.9604, 0.0000)
In (0.6667, 0.3333, 0.7441)
S (0.0000, 0.0000, 0.5001)
S (0.0110, 0.6241, 0.4982)
S (0.3224, 0.0427, 0.0039)
S (0.3333, 0.6667, 0.0019)
S (0.3759, 0.3869, 0.4982)
S (0.6131, 0.9890, 0.4982)
S (0.7203, 0.6776, 0.0039)
S (0.9573, 0.2797, 0.0039)

Computed properties:
The space-group type is No. 143. The value obtained for the uncorrected formation energy is -1.048 eV per atom. The crystal system is trigonal. For the total moment, the calculation gives 0.0 μB/f.u.



No. 5
Here is a relaxed structure of Zn2In2S5 from the Alexandria database. Energies are from PBEsol.

Cell lengths 15.2468, 15.2468, 15.2468 Å; angles 14.52, 14.52, 14.52 degrees
Positions (direct):
Zn (0.0000, 0.0000, 0.0000)
Zn (0.1690, 0.1690, 0.1690)
In (0.4071, 0.4071, 0.4071)
In (0.5848, 0.5848, 0.5848)
S (0.0969, 0.0969, 0.0969)
S (0.2228, 0.2228, 0.2228)
S (0.3519, 0.3519, 0.3519)
S (0.4880, 0.4880, 0.4880)
S (0.9507, 0.9507, 0.9507)

Computed properties:
The space-group type is No. 160. The value obtained for the uncorrected formation energy is -0.611 eV per atom. The crystal system is trigonal. For the total moment, the calculation gives 0.0 μB/f.u.



No. 6
Here is a relaxed structure of ZnIn2S4 from the Alexandria database. Energies are from PBEsol.

Cell lengths 3.8629, 3.8629, 24.2997 Å; angles 90.00, 90.00, 120.00 degrees
Positions (direct):
Zn (0.0000, 0.0000, 0.0000)
Zn (0.0000, 0.0000, 0.5000)
In (0.3333, 0.6667, 0.1558)
In (0.3333, 0.6667, 0.8186)
In (0.6667, 0.3333, 0.3186)
In (0.6667, 0.3333, 0.6558)
S (0.0000, 0.0000, 0.1040)
S (0.0000, 0.0000, 0.3628)
S (0.0000, 0.0000, 0.6040)
S (0.0000, 0.0000, 0.8628)
S (0.3333, 0.6667, 0.7181)
S (0.3333, 0.6667, 0.9777)
S (0.6667, 0.3333, 0.2181)
S (0.6667, 0.3333, 0.4777)

Computed properties:
The space-group type is No. 186. The value obtained for the uncorrected formation energy is -0.582 eV per atom. The crystal system is hexagonal. For the total moment, the calculation gives 0.0 μB/f.u.



No. 7
Here is a relaxed structure of ZnIn2S4 from the Alexandria database. Energies are from PBEsol.

Cell lengths 3.8658, 3.8658, 24.8464 Å; angles 90.00, 90.00, 120.00 degrees
Positions (direct):
Zn (0.3333, 0.6667, 0.0402)
Zn (0.6667, 0.3333, 0.9598)
In (0.0000, 0.0000, 0.2321)
In (0.0000, 0.0000, 0.7679)
In (0.3333, 0.6667, 0.6075)
In (0.6667, 0.3333, 0.3925)
S (0.3333, 0.6667, 0.1837)
S (0.3333, 0.6667, 0.4386)
S (0.3333, 0.6667, 0.7035)
S (0.3333, 0.6667, 0.9380)
S (0.6667, 0.3333, 0.0620)
S (0.6667, 0.3333, 0.2965)
S (0.6667, 0.3333, 0.5614)
S (0.6667, 0.3333, 0.8163)

Computed properties:
The space-group type is No. 164. The value obtained for the uncorrected formation energy is -0.579 eV per atom. The crystal system is trigonal. For the total moment, the calculation gives 0.0 μB/f.u.



No. 8
Here is a relaxed structure of ZnIn2S4 from the Alexandria database. Energies are from PBEsol.

Cell lengths 3.8626, 3.8626, 12.1378 Å; angles 90.00, 90.00, 120.00 degrees
Positions (direct):
Zn (0.0000, 0.0000, 0.0000)
In (0.3333, 0.6667, 0.3103)
In (0.6667, 0.3333, 0.6362)
S (0.0000, 0.0000, 0.2063)
S (0.0000, 0.0000, 0.7247)
S (0.6667, 0.3333, 0.4350)
S (0.6667, 0.3333, 0.9550)

Computed properties:
The space-group type is No. 156. The value obtained for the uncorrected formation energy is -0.583 eV per atom. The crystal system is trigonal. For the total moment, the calculation gives 0.0 μB/f.u.